[1]
## TlCdO3 (PBE)

Data for a geometry-optimized TlCdO3 structure.

**Electronic total energy**: -4.153 eV per atom
**Total magnetic moment**: 0.2072 μB/atom
**Energy relative to the elements, uncorrected**: -50.33 kJ/mol of atoms

a b c (Å): 10.573 9.750 5.891
angles (deg): 90.00 96.44 90.00
Space group C2/c (No. 15)
Inequivalent atoms, fractional coordinates:
Tl (0.000, 0.083, 0.250) [4 per cell]
Tl (0.000, 0.283, 0.750) [4 per cell]
Cd (0.218, 0.396, 0.304) [8 per cell]
O (0.103, 0.444, 0.972) [8 per cell]
O (0.119, 0.090, 0.928) [8 per cell]
O (0.123, 0.223, 0.474) [8 per cell]

[2]
## PuPaSnMo (PBE)

Data for a geometry-optimized PuPaSnMo structure.

**Electronic total energy**: -9.475 eV per atom
**Total magnetic moment**: 1.2829 μB/atom
**Energy of formation from the pure elements**: 18 kJ per mole of atoms

a b c (Å): 7.201 7.201 7.201
angles (deg): 90.00 90.00 90.00
Space group F-43m (No. 216)
Inequivalent atoms, fractional coordinates:
Pu (0.000, 0.000, 0.000) [4 per cell]
Pa (0.000, 0.000, 0.500) [4 per cell]
Sn (0.250, 0.250, 0.250) [4 per cell]
Mo (0.250, 0.250, 0.750) [4 per cell]

[3]
## Mg5CuPt4 (PBE)

Data for a geometry-optimized Mg5CuPt4 structure.

**Electronic total energy**: -4.340 eV per atom
**Total magnetic moment**: 0.0000 μB/atom
**Energy of formation from the pure elements**: -69 kJ per mole of atoms

a b c (Å): 2.987 2.987 17.830
angles (deg): 90.00 90.00 90.00
Space group P4/mmm (No. 123)
Inequivalent atoms, fractional coordinates:
Mg (0.000, 0.000, 0.000) [1 per cell]
Mg (0.000, 0.000, 0.201) [2 per cell]
Mg (0.000, 0.000, 0.399) [2 per cell]
Cu (0.500, 0.500, 0.500) [1 per cell]
Pt (0.500, 0.500, 0.101) [2 per cell]
Pt (0.500, 0.500, 0.302) [2 per cell]

[4]
## CaYTlCu (PBE)

Data for a geometry-optimized CaYTlCu structure.

**Electronic total energy**: -3.973 eV per atom
**Total magnetic moment**: 0.0000 μB/atom
**Energy of formation from the pure elements**: -23 kJ per mole of atoms

a b c (Å): 7.379 7.379 7.379
angles (deg): 90.00 90.00 90.00
Space group F-43m (No. 216)
Inequivalent atoms, fractional coordinates:
Ca (0.000, 0.000, 0.000) [4 per cell]
Y (0.000, 0.000, 0.500) [4 per cell]
Tl (0.250, 0.250, 0.750) [4 per cell]
Cu (0.250, 0.250, 0.250) [4 per cell]

[5]
## LaDy3Ru4 (PBE)

Data for a geometry-optimized LaDy3Ru4 structure.

**Electronic total energy**: -7.243 eV per atom
**Total magnetic moment**: 0.0000 μB/atom
**Energy of formation from the pure elements**: -25 kJ per mole of atoms

a b c (Å): 4.8466 4.8466 23.8743
angles (deg): 90.00 90.00 120.00
Space group R-3m (No. 166, hexagonal axes)
Inequivalent atoms, fractional coordinates:
La (0.0000, 0.0000, 0.0000) [3 per cell]
Dy (0.0000, 0.0000, 0.2472) [6 per cell]
Dy (0.0000, 0.0000, 0.5000) [3 per cell]
Ru (0.0000, 0.0000, 0.1258) [6 per cell]
Ru (0.0000, 0.0000, 0.3754) [6 per cell]

[6]
## YNi2Os (PBE)

Data for a geometry-optimized YNi2Os structure.

**Electronic total energy**: -6.798 eV per atom
**Total magnetic moment**: 0.0001 μB/atom
**Energy above the most stable polymorph in this dataset**: 2.65 eV per formula unit
**Energy of formation from the pure elements**: 50 kJ per mole of atoms

a b c (Å): 2.8289 2.8289 26.7619
angles (deg): 90.00 90.00 120.00
Space group R-3m (No. 166, hexagonal axes)
Inequivalent atoms, fractional coordinates:
Y (0.0000, 0.0000, 0.0000) [3 per cell]
Ni (0.0000, 0.0000, 0.2412) [6 per cell]
Os (0.0000, 0.0000, 0.5000) [3 per cell]